1.
Compound: NdDy2Mg3Pt3
Source: OQMD
Functional: PBE
Structure: relaxed

Unit cell a=4.0892 b=7.4196 c=7.4196 alpha=120.10 beta=90.00 gamma=90.00
Fractional positions:
Dy: 0.0000 0.4093 0.0004
Dy: 0.0000 0.0004 0.4093
Mg: 0.5000 0.7567 0.0026
Mg: 0.5000 0.2422 0.2422
Mg: 0.5000 0.0026 0.7567
Nd: 0.0000 0.5869 0.5869
Pt: 0.0000 0.0058 0.0058
Pt: 0.5000 0.6687 0.3273
Pt: 0.5000 0.3273 0.6687

Calculated values
Symmetry = Amm2, No. 38



2.
Compound: NdDyMg2Sn2
Source: OQMD
Functional: PBE
Structure: relaxed

Unit cell a=8.6211 b=8.6211 c=8.6211 alpha=150.06 beta=150.06 gamma=42.86
Fractional positions:
Dy: 0.3345 0.3345 0.0000
Mg: 0.9992 0.4992 0.5000
Mg: 0.4992 0.9992 0.5000
Nd: 0.6666 0.6666 0.0000
Sn: 0.1346 0.1346 0.0000
Sn: 0.8657 0.8657 0.0000

Calculated values
Symmetry = I4mm, No. 107



3.
Compound: NdDy2Mg4Tl2
Source: OQMD
Functional: PBE
Structure: relaxed

Unit cell a=4.6898 b=7.6593 c=7.6593 alpha=120.71 beta=90.00 gamma=90.00
Fractional positions:
Dy: 0.0000 0.5680 0.0024
Dy: 0.0000 0.0024 0.5680
Mg: 0.5000 0.9998 0.2419
Mg: 0.5000 0.7564 0.7564
Mg: 0.0000 0.9935 0.9935
Mg: 0.5000 0.2419 0.9998
Nd: 0.0000 0.4324 0.4324
Tl: 0.5000 0.6723 0.3333
Tl: 0.5000 0.3333 0.6723

Calculated values
Symmetry = Amm2, No. 38



Number 1: volume 21.6 A^3/atom, final energy -5.0283 eV per atom. Number 2: volume 26.5 A^3/atom, final energy -4.0001 eV per atom. Number 3: volume 26.3 A^3/atom, final energy -3.0136 eV per atom.